Zr2TaAl: relaxed, PBEsol.

Properties
ΔE_f = -0.4 eV/f.u.
total energy = -8.794 eV/atom

Unit cell a=3.482 b=3.482 c=6.301 alpha=90.00 beta=90.00 gamma=90.00
Atoms (fractional coordinates):
Al 0.000 0.000 0.517
Zr 0.000 0.000 0.984
Zr 0.500 0.500 0.262
Ta 0.500 0.500 0.737